Below is an optimized crystal structure of Zr2InFe, with properties calculated at the PBE-GGA level.

Results
As for the density of states at the Fermi level: 0.769 states/eV/atom. For the formation energy, the calculation gives -0.08 eV per atom.

Unit cell a=4.5814 b=4.5838 c=3.7466 alpha=90.00 beta=90.00 gamma=90.00
With the nearest neighbours (Å) after each atom.
Fractional coordinates of all 4 atoms:
Fe  0.5000  0.0000  0.5000  8 Zr 2.96, 4 In 3.24
Zr  0.0000  0.0000  0.0000  4 Fe 2.96, 4 In 2.96, 4 Zr 3.24
Zr  0.5000  0.5000  0.0000  4 In 2.96, 4 Fe 2.96, 4 Zr 3.24
In  0.0000  0.5000  0.5000  8 Zr 2.96, 4 Fe 3.24



Below is an optimized crystal structure of TbPm2Er6, with properties calculated at the PBE-GGA level.

Results
As for the density of states at the Fermi level: 1.283 states/eV/atom. For the formation energy, the calculation gives 0.11 eV per atom.

Unit cell a=6.5327 b=9.5319 c=9.5319 alpha=95.87 beta=80.90 gamma=80.90
With the nearest neighbours (Å) after each atom.
Fractional coordinates of all 18 atoms:
Pm  0.8729  0.3829  0.3314  3 Pm 3.35-3.62, 7 Er 3.38-3.64
Pm  0.3729  0.3314  0.3829  3 Pm 3.35-3.62, 7 Er 3.38-3.64
Pm  0.1271  0.6171  0.6686  3 Pm 3.35-3.62, 7 Er 3.38-3.64
Pm  0.6271  0.6686  0.6171  3 Pm 3.35-3.62, 7 Er 3.38-3.64
Er  0.7309  0.0588  0.4618  7 Er 3.37-3.73, 2 Pm 3.44-3.64, 1 Tb 3.50
Er  0.9970  0.7235  0.3478  5 Er 3.21-3.55, 1 Tb 3.26, 3 Pm 3.38-3.51
Er  0.7691  0.5382  0.9412  7 Er 3.37-3.73, 2 Pm 3.44-3.64, 1 Tb 3.50
Er  0.8160  0.9563  0.7788  3 Er 3.29-3.42, 2 Tb 3.37-3.65, 2 Pm 3.50
Er  0.4970  0.3478  0.7235  5 Er 3.21-3.55, 1 Tb 3.26, 3 Pm 3.38-3.51
Er  0.3160  0.7788  0.9563  3 Er 3.29-3.42, 2 Tb 3.37-3.65, 2 Pm 3.50
Er  0.1840  0.0437  0.2212  3 Er 3.29-3.42, 2 Tb 3.37-3.65, 2 Pm 3.50
Er  0.6840  0.2212  0.0437  3 Er 3.29-3.42, 2 Tb 3.37-3.65, 2 Pm 3.50
Er  0.0030  0.2765  0.6522  5 Er 3.21-3.55, 1 Tb 3.26, 3 Pm 3.38-3.51
Er  0.2309  0.4618  0.0588  7 Er 3.37-3.73, 2 Pm 3.44-3.64, 1 Tb 3.50
Er  0.2691  0.9412  0.5382  7 Er 3.37-3.73, 2 Pm 3.44-3.64, 1 Tb 3.50
Er  0.5030  0.6522  0.2765  5 Er 3.21-3.55, 1 Tb 3.26, 3 Pm 3.38-3.51
Tb  0.7500  0.8813  0.1187  8 Er 3.26-3.65
Tb  0.2500  0.1187  0.8813  8 Er 3.26-3.65